This record from Alexandria via LeMat-Bulk describes a relaxed structure of Ba4GaAg. The functional is PBE-GGA.

VASP energy, eV per cell: -14.80
Formation energy, eV/atom: -0.2043
Energy above the most stable polymorph in this dataset, meV/atom: 0
Volume, A^3/atom: 44.1

Cell lengths 4.1772, 4.1772, 15.1548 Å; angles 90.00, 90.00, 90.00 degrees
Positions (direct):
Ba 0.0000 0.0000 0.1260
Ba 0.0000 0.0000 0.8740
Ba 0.5000 0.5000 0.3710
Ba 0.5000 0.5000 0.6290
Ga 0.5000 0.5000 0.0000
Ag 0.0000 0.0000 0.5000